(1)
VCo2Pt2 | GGA-PBE | optimized geometry

Structure (CIF):
```
data_VCo2Pt2
_symmetry_space_group_name_H-M 'C m c m'
_symmetry_Int_Tables_number 63
_symmetry_space_group_name_Hall '-C 2c 2'
_cell_length_a 3.762
_cell_length_b 18.651
_cell_length_c 3.777
_cell_angle_alpha 90.00
_cell_angle_beta 90.00
_cell_angle_gamma 90.00
loop_
_atom_site_label
_atom_site_fract_x
_atom_site_fract_y
_atom_site_fract_z
_atom_site_occupancy
V1 0.000 0.147 0.250 1
Co1 0.000 0.354 0.250 1
Co2 0.000 0.447 0.750 1
Pt1 0.000 0.053 0.750 1
Pt2 0.000 0.250 0.750 1
```

Calculated values
The formation energy comes out at -0.299 eV per atom. Its total moment is 7.9 Bohr magnetons per cell.

(2)
VCoPt3 | GGA-PBE | optimized geometry

Structure (CIF):
```
data_VCoPt3
_symmetry_space_group_name_H-M 'C 1 2/c 1'
_symmetry_Int_Tables_number 15
_symmetry_space_group_name_Hall '-C 2yc'
_cell_length_a 4.671
_cell_length_b 13.823
_cell_length_c 5.446
_cell_angle_alpha 90.00
_cell_angle_beta 125.81
_cell_angle_gamma 90.00
loop_
_atom_site_label
_atom_site_fract_x
_atom_site_fract_y
_atom_site_fract_z
_atom_site_occupancy
V1 0.000 0.101 0.250 1
Co1 0.000 0.099 0.750 1
Pt1 0.000 0.306 0.250 1
Pt2 0.000 0.306 0.750 1
Pt3 0.000 0.499 0.750 1
```

Calculated values
The formation energy comes out at -0.348 eV per atom. Its total moment is 6.9 Bohr magnetons per cell.